No. 1
FeSi2Os | GGA-PBE | relaxed

Output
The total energy comes out at -7.927 eV/atom. Its space-group type is P4mm (99).

a = 3.0711 Å, b = 3.0711 Å, c = 5.3110 Å
α = 90.00°, β = 90.00°, γ = 90.00°
Closest atoms and distances in Å follow each position.
Fractional positions:
1 Si 0.0000 0.0000 0.9987  1 Fe 2.34, 4 Os 2.44, 4 Si 2.62
2 Os 0.5000 0.5000 0.7875  6 Si 2.44-2.73
3 Si 0.5000 0.5000 0.2738  4 Fe 2.34, 1 Os 2.58, 4 Si 2.62
4 Fe 0.0000 0.0000 0.4399  5 Si 2.34



No. 2
TlTeRhPb2 | GGA-PBE | relaxed

Output
The total energy comes out at -4.193 eV/atom. Its space-group type is P4/mmm (123).

a = 5.3206 Å, b = 5.3206 Å, c = 5.2890 Å
α = 90.00°, β = 90.00°, γ = 90.00°
Closest atoms and distances in Å follow each position.
Fractional positions:
1 Pb 0.0000 0.5000 0.0000  2 Rh 2.66
2 Pb 0.5000 0.0000 0.0000  2 Rh 2.66
3 Tl 0.0000 0.0000 0.5000  2 Rh 2.64
4 Te 0.5000 0.5000 0.5000  8 Pb 3.75, 4 Tl 3.76
5 Rh 0.0000 0.0000 0.0000  2 Tl 2.64, 4 Pb 2.66



No. 3
CsNpFe2Br8 | GGA-PBE | relaxed

Output
The total energy comes out at -4.614 eV/atom. Its space-group type is R-3 (148).

a = 6.9345 Å, b = 6.9345 Å, c = 11.2666 Å
α = 72.08°, β = 72.08°, γ = 60.00°
Closest atoms and distances in Å follow each position.
Fractional positions:
1 Br 0.6132 0.2826 0.1624  1 Fe 2.46
2 Br 0.7174 0.0582 0.8376  1 Fe 2.46
3 Cs 0.5000 0.5000 0.5000  12 Br 4.02-4.23
4 Np 0.0000 0.0000 0.0000  6 Br 2.88
5 Br 0.1793 0.1793 0.4622  1 Fe 2.37
6 Br 0.8207 0.8207 0.5378  1 Fe 2.37
7 Fe 0.2542 0.2542 0.2374  4 Br 2.37-2.46
8 Br 0.9418 0.6132 0.1624  1 Fe 2.46
9 Br 0.0582 0.3868 0.8376  1 Fe 2.46
10 Br 0.2826 0.9418 0.1624  1 Fe 2.46
11 Fe 0.7458 0.7458 0.7626  4 Br 2.37-2.46
12 Br 0.3868 0.7174 0.8376  1 Fe 2.46



No. 4
KSr2Br | GGA-PBE | relaxed

Output
The total energy comes out at -2.198 eV/atom. Its space-group type is R-3m (166).

a = 12.4007 Å, b = 12.4007 Å, c = 12.4007 Å
α = 19.86°, β = 19.86°, γ = 19.86°
Closest atoms and distances in Å follow each position.
Fractional positions:
1 K 0.7500 0.7500 0.7500  6 K 4.28, 6 Sr 4.46
2 Sr 0.9814 0.9814 0.9814  3 Br 3.41
3 Br 0.2500 0.2500 0.2500  6 Sr 3.41
4 Sr 0.5186 0.5186 0.5186  3 Br 3.41